Computed, not measured: a relaxed structure of Ba2CdGePd6 at the PBE level of DFT.

```
data_Ba2CdGePd6
_chemical_formula_sum 'Ba4 Cd2 Ge2 Pd12'
_cell_length_a 12.3199
_cell_length_b 5.7395
_cell_length_c 8.6813
_cell_angle_alpha 90.00
_cell_angle_beta 130.29
_cell_angle_gamma 90.00
_symmetry_space_group_name_H-M 'C 1 2/m 1'
_symmetry_Int_Tables_number 12
loop_
_symmetry_equiv_pos_as_xyz
'x,y,z'
'-x,-y,-z'
'-x,y,-z'
'x,-y,z'
'x+1/2,y+1/2,z'
'-x+1/2,-y+1/2,-z'
'-x+1/2,y+1/2,-z'
'x+1/2,-y+1/2,z'
loop_
_atom_site_label
_atom_site_type_symbol
_atom_site_fract_x
_atom_site_fract_y
_atom_site_fract_z
Ba1 Ba 0.2436 0.0000 0.2020
Cd1 Cd 0.0000 0.5000 0.0000
Ge1 Ge 0.0000 0.0000 0.5000
Pd1 Pd 0.0199 0.2558 0.2902
Pd2 Pd 0.2482 0.0000 0.6016
```

Computed properties:
Total magnetization, μB/cell: 0.0
Density of states at the Fermi level, states/eV/atom: 0.3262


Computed, not measured: a relaxed structure of BaCd2GePd at the PBE level of DFT.

```
data_BaCd2GePd
_chemical_formula_sum 'Ba1 Cd2 Ge1 Pd1'
_cell_length_a 5.2616
_cell_length_b 5.2616
_cell_length_c 4.9312
_cell_angle_alpha 90.00
_cell_angle_beta 90.00
_cell_angle_gamma 90.00
_symmetry_space_group_name_H-M 'P 4/m m m'
_symmetry_Int_Tables_number 123
_symmetry_space_group_name_Hall '-P 4 2'
loop_
_atom_site_label
_atom_site_type_symbol
_atom_site_fract_x
_atom_site_fract_y
_atom_site_fract_z
Ba1 Ba 0.0000 0.0000 0.0000
Cd1 Cd 0.0000 0.5000 0.5000
Ge1 Ge 0.5000 0.5000 0.0000
Pd1 Pd 0.5000 0.5000 0.5000
```

Computed properties:
Total magnetization, μB/cell: 0.0
Density of states at the Fermi level, states/eV/atom: 0.6213


Computed, not measured: a relaxed structure of Ba2CdGe3Pd4 at the PBE level of DFT.

```
data_Ba2CdGe3Pd4
_chemical_formula_sum 'Ba2 Cd1 Ge3 Pd4'
_cell_length_a 4.5969
_cell_length_b 4.5969
_cell_length_c 10.5256
_cell_angle_alpha 90.00
_cell_angle_beta 90.00
_cell_angle_gamma 90.00
_symmetry_space_group_name_H-M 'P -4 m 2'
_symmetry_Int_Tables_number 115
loop_
_symmetry_equiv_pos_as_xyz
'x,y,z'
'y,-x,-z'
'-x,-y,z'
'-y,x,-z'
'-x,y,z'
'-y,-x,-z'
'x,-y,z'
'y,x,-z'
loop_
_atom_site_label
_atom_site_type_symbol
_atom_site_fract_x
_atom_site_fract_y
_atom_site_fract_z
Ba1 Ba 0.0000 0.5000 0.2471
Cd1 Cd 0.0000 0.0000 0.5000
Ge1 Ge 0.0000 0.5000 0.8878
Ge2 Ge 0.5000 0.5000 0.5000
Pd1 Pd 0.0000 0.0000 0.0000
Pd2 Pd 0.0000 0.5000 0.6417
Pd3 Pd 0.5000 0.5000 0.0000
```

Computed properties:
Total magnetization, μB/cell: 0.0
Density of states at the Fermi level, states/eV/atom: 0.5664


Computed, not measured: a relaxed structure of BaCdGe2Pt5 at the PBE level of DFT.

```
data_BaCdGe2Pt5
_chemical_formula_sum 'Ba1 Cd1 Ge2 Pt5'
_cell_length_a 4.2300
_cell_length_b 4.2300
_cell_length_c 11.0865
_cell_angle_alpha 90.00
_cell_angle_beta 90.00
_cell_angle_gamma 90.00
_symmetry_space_group_name_H-M 'P 4/m m m'
_symmetry_Int_Tables_number 123
_symmetry_space_group_name_Hall '-P 4 2'
loop_
_atom_site_label
_atom_site_type_symbol
_atom_site_fract_x
_atom_site_fract_y
_atom_site_fract_z
Ba1 Ba 0.0000 0.0000 0.0000
Cd1 Cd 0.0000 0.0000 0.5000
Ge1 Ge 0.5000 0.5000 0.2203
Pt1 Pt 0.0000 0.5000 0.3327
Pt2 Pt 0.5000 0.5000 0.0000
```

Computed properties:
Total magnetization, μB/cell: 0.0
Density of states at the Fermi level, states/eV/atom: 0.2819


Number 1: ΔE_f -0.52 eV/atom. Number 2: ΔE_f -0.30 eV/atom. Number 3: ΔE_f -0.61 eV/atom. Number 4: ΔE_f -0.45 eV/atom.